# Pr3DyEr7 PBE-GGA relaxed
# Raw total energy ... -48.96 eV per cell
# ρ ... 7.81 g cm⁻³
# Density of states at the Fermi level ... 16.7 states/eV per cell
data_Pr3DyEr7
_cell_length_a 7.0465
_cell_length_b 7.0465
_cell_length_c 8.6846
_cell_angle_alpha 90.00
_cell_angle_beta 90.00
_cell_angle_gamma 120.00
_space_group_name_H-M_alt 'P 3 m 1'
_space_group_IT_number 156
loop_
_space_group_symop_operation_xyz
'x,y,z'
'-y,x-y,z'
'-x+y,-x,z'
'-y,-x,z'
'-x+y,y,z'
'x,x-y,z'
loop_
_atom_site_label
_atom_site_type_symbol
_atom_site_fract_x
_atom_site_fract_y
_atom_site_fract_z
_atom_site_occupancy
Pr1 Pr 0.0001 0.5001 0.0000 1
Dy1 Dy 0.6667 0.3333 0.3400 1
Er1 Er 0.1674 0.3348 0.3398 1
Er2 Er 0.3333 0.6667 0.6602 1
Er3 Er 0.3347 0.1673 0.6610 1